Zr3Al: relaxed, PBE-GGA.

Output
**ΔE_f**: -0.13 eV per atom
**Size of the total moment**: 0.0 μB/f.u.
**Space group**: Fm-3m, No. 225
**E**: -7.473 eV/atom

Cell: 4.9256 4.9256 4.9256 Å, 60.00 60.00 60.00°
Element x y z (fractional)
Zr 0.0000 0.0000 0.0000
Zr 0.2500 0.2500 0.2500
Zr 0.7500 0.7500 0.7500
Al 0.5000 0.5000 0.5000